#A
Below is a geometry-optimized Ce5GaIr2 structure, with properties calculated at the PBE-GGA level.

The structure in extended XYZ format:
```
16
Lattice="5.281 0.000 0.000 -2.640 5.518 0.000 0.000 0.000 14.392" Properties=species:S:1:pos:R:3 pbc="T T T"
Ce 2.640 4.527 12.153
Ce 2.640 4.527 9.435
Ce 0.000 4.033 6.706
Ce 0.000 4.033 0.490
Ce 2.640 3.361 3.598
Ce 0.000 2.156 10.794
Ce 2.640 1.485 7.686
Ce 2.640 1.485 13.902
Ce 0.000 0.991 2.239
Ce 0.000 0.991 4.957
Ga 2.640 0.048 10.794
Ga 0.000 5.470 3.598
Ir 2.640 4.148 6.507
Ir 2.640 4.148 0.689
Ir 0.000 1.370 7.885
Ir 0.000 1.370 13.703
```

Values from the calculation:
V   26.2 Å³/atom
D(E_F)   19.7 states/eV/f.u.

#B
Below is a geometry-optimized Ce5GaIr2 structure, with properties calculated at the PBE-GGA level.

The structure in extended XYZ format:
```
16
Lattice="-1.960 3.806 -1.451 -2.908 -2.509 4.389 8.535 8.378 10.445" Properties=species:S:1:pos:R:3 pbc="T T T"
Ce 3.384 8.874 11.662
Ce 0.951 6.486 8.685
Ce 0.455 3.067 7.430
Ce -2.534 0.133 3.772
Ce -1.057 3.653 3.968
Ce 4.724 6.022 9.414
Ce 3.212 6.608 5.953
Ce 6.201 9.542 9.610
Ce 0.283 0.802 1.721
Ce 2.716 3.190 4.698
Ga 5.384 8.181 7.143
Ga -1.717 1.495 6.239
Ir 0.737 5.177 5.541
Ir -2.276 2.219 1.854
Ir 2.930 4.499 7.841
Ir 5.943 7.456 11.528
```

Values from the calculation:
V   24.1 Å³/atom
D(E_F)   16.6 states/eV/f.u.

The structure with the greatest stability is #B.